# 1
# Zn2Hg2Se, relaxed, DFT GGA-PBE
data_Zn2Hg2Se
_cell_length_a 8.530
_cell_length_b 8.530
_cell_length_c 2.875
_cell_angle_alpha 90.00
_cell_angle_beta 90.00
_cell_angle_gamma 90.00
_space_group_name_H-M_alt 'P 4/m b m'
_space_group_IT_number 127
_space_group_name_Hall '-P 4 2ab'
loop_
_atom_site_label
_atom_site_type_symbol
_atom_site_fract_x
_atom_site_fract_y
_atom_site_fract_z
_atom_site_occupancy
Zn1 Zn 0.109 0.391 0.000 1
Hg1 Hg 0.191 0.691 0.500 1
Se1 Se 0.000 0.000 0.500 1
# - density (g/cm3) = 9.70
# - E above lowest polymorph (meV per atom) = 182.0
# - crystal system = tetragonal



# 2
# ZnHg2Se, relaxed, DFT GGA-PBE
data_ZnHg2Se
_cell_length_a 4.057
_cell_length_b 6.515
_cell_length_c 7.943
_cell_angle_alpha 90.00
_cell_angle_beta 90.00
_cell_angle_gamma 90.00
_space_group_name_H-M_alt 'C m m 2'
_space_group_IT_number 35
loop_
_space_group_symop_operation_xyz
'x,y,z'
'-x,-y,z'
'-x,y,z'
'x,-y,z'
'x+1/2,y+1/2,z'
'-x+1/2,-y+1/2,z'
'-x+1/2,y+1/2,z'
'x+1/2,-y+1/2,z'
loop_
_atom_site_label
_atom_site_type_symbol
_atom_site_fract_x
_atom_site_fract_y
_atom_site_fract_z
_atom_site_occupancy
Zn1 Zn 0.000 0.000 0.000 1
Hg1 Hg 0.000 0.000 0.549 1
Hg2 Hg 0.000 0.500 0.261 1
Se1 Se 0.000 0.500 0.837 1
# - density (g/cm3) = 8.63
# - E above lowest polymorph (meV per atom) = 227.6
# - crystal system = orthorhombic



# 3
# ZnHgSe2, relaxed, DFT GGA-PBE
data_ZnHgSe2
_cell_length_a 6.018
_cell_length_b 6.018
_cell_length_c 11.870
_cell_angle_alpha 90.00
_cell_angle_beta 90.00
_cell_angle_gamma 90.00
_space_group_name_H-M_alt 'I -4 2 d'
_space_group_IT_number 122
_space_group_name_Hall 'I -4 2bw'
loop_
_atom_site_label
_atom_site_type_symbol
_atom_site_fract_x
_atom_site_fract_y
_atom_site_fract_z
_atom_site_occupancy
Zn1 Zn 0.000 0.000 0.000 1
Hg1 Hg 0.000 0.000 0.500 1
Se1 Se 0.219 0.250 0.125 1
# - density (g/cm3) = 6.55
# - energy (eV per formula unit) = -10.36
# - crystal system = tetragonal



# 4
# ZnHg2Se, relaxed, DFT GGA-PBE
data_ZnHg2Se
_cell_length_a 5.003
_cell_length_b 5.003
_cell_length_c 7.326
_cell_angle_alpha 90.00
_cell_angle_beta 90.00
_cell_angle_gamma 90.00
_space_group_name_H-M_alt 'I -4 m 2'
_space_group_IT_number 119
_space_group_name_Hall 'I -4 -2'
loop_
_atom_site_label
_atom_site_type_symbol
_atom_site_fract_x
_atom_site_fract_y
_atom_site_fract_z
_atom_site_occupancy
Zn1 Zn 0.000 0.000 0.000 1
Hg1 Hg 0.000 0.000 0.500 1
Hg2 Hg 0.000 0.500 0.750 1
Se1 Se 0.000 0.500 0.250 1
# - density (g/cm3) = 9.88
# - E above lowest polymorph (meV per atom) = 377.4
# - crystal system = tetragonal



# 5
# Zn2HgSe, relaxed, DFT GGA-PBE
data_Zn2HgSe
_cell_length_a 3.790
_cell_length_b 5.470
_cell_length_c 8.393
_cell_angle_alpha 90.00
_cell_angle_beta 90.00
_cell_angle_gamma 90.00
_space_group_name_H-M_alt 'C m m 2'
_space_group_IT_number 35
loop_
_space_group_symop_operation_xyz
'x,y,z'
'-x,-y,z'
'-x,y,z'
'x,-y,z'
'x+1/2,y+1/2,z'
'-x+1/2,-y+1/2,z'
'-x+1/2,y+1/2,z'
'x+1/2,-y+1/2,z'
loop_
_atom_site_label
_atom_site_type_symbol
_atom_site_fract_x
_atom_site_fract_y
_atom_site_fract_z
_atom_site_occupancy
Zn1 Zn 0.000 0.000 0.000 1
Zn2 Zn 0.000 0.500 0.220 1
Hg1 Hg 0.000 0.500 0.739 1
Se1 Se 0.000 0.000 0.411 1
# - density (g/cm3) = 7.83
# - E above lowest polymorph (meV per atom) = 232.6
# - crystal system = orthorhombic



# 6
# Zn2HgSe, relaxed, DFT GGA-PBE
data_Zn2HgSe
_cell_length_a 3.635
_cell_length_b 3.733
_cell_length_c 12.353
_cell_angle_alpha 90.00
_cell_angle_beta 90.00
_cell_angle_gamma 90.00
_space_group_name_H-M_alt 'I m m 2'
_space_group_IT_number 44
loop_
_space_group_symop_operation_xyz
'x,y,z'
'-x,-y,z'
'-x,y,z'
'x,-y,z'
'x+1/2,y+1/2,z+1/2'
'-x+1/2,-y+1/2,z+1/2'
'-x+1/2,y+1/2,z+1/2'
'x+1/2,-y+1/2,z+1/2'
loop_
_atom_site_label
_atom_site_type_symbol
_atom_site_fract_x
_atom_site_fract_y
_atom_site_fract_z
_atom_site_occupancy
Zn1 Zn 0.000 0.000 0.000 1
Zn2 Zn 0.000 0.500 0.225 1
Hg1 Hg 0.000 0.500 0.819 1
Se1 Se 0.000 0.000 0.560 1
# - density (g/cm3) = 8.13
# - E above lowest polymorph (meV per atom) = 74.5
# - crystal system = orthorhombic



# 7
# Zn2HgSe, relaxed, DFT GGA-PBE
data_Zn2HgSe
_cell_length_a 3.486
_cell_length_b 3.486
_cell_length_c 6.659
_cell_angle_alpha 90.00
_cell_angle_beta 90.00
_cell_angle_gamma 90.00
_space_group_name_H-M_alt 'P 4/m m m'
_space_group_IT_number 123
_space_group_name_Hall '-P 4 2'
loop_
_atom_site_label
_atom_site_type_symbol
_atom_site_fract_x
_atom_site_fract_y
_atom_site_fract_z
_atom_site_occupancy
Zn1 Zn 0.000 0.000 0.213 1
Hg1 Hg 0.500 0.500 0.500 1
Se1 Se 0.500 0.500 0.000 1
# - density (g/cm3) = 8.42
# - E above lowest polymorph (meV per atom) = 223.4
# - crystal system = tetragonal



# 8
# ZnHgSe2, relaxed, DFT GGA-PBE
data_ZnHgSe2
_cell_length_a 3.693
_cell_length_b 5.070
_cell_length_c 10.183
_cell_angle_alpha 90.00
_cell_angle_beta 90.00
_cell_angle_gamma 90.00
_space_group_name_H-M_alt 'C m m m'
_space_group_IT_number 65
_space_group_name_Hall '-C 2 2'
loop_
_atom_site_label
_atom_site_type_symbol
_atom_site_fract_x
_atom_site_fract_y
_atom_site_fract_z
_atom_site_occupancy
Zn1 Zn 0.000 0.000 0.000 1
Hg1 Hg 0.000 0.000 0.500 1
Se1 Se 0.000 0.500 0.180 1
# - density (g/cm3) = 7.38
# - energy (eV per formula unit) = -8.34
# - crystal system = orthorhombic